## NiIN2O (GGA+U)

Data for a geometry-optimized NiIN2O structure.

**Total DFT energy (no corrections)**: -3.44 eV/atom

Lattice parameters (Å, degrees): 4.0659 4.0659 3.9465 90.00 90.00 90.00
Closest atoms and distances in Å follow each position.
Space group P4/mmm (No. 123)
Asymmetric unit:
Ni: 0.0000 0.0000 0.0000  8 N 2.83, 4 O 2.88
I: 0.5000 0.5000 0.5000  2 O 1.97, 4 N 2.03
N: 0.0000 0.5000 0.5000  2 I 2.03
O: 0.5000 0.5000 0.0000  2 I 1.97